DFT (GGA-PBE) results for a relaxed BeIn2Mo crystal.

Summary:
* total energy: -4.679 eV/atom
* ΔH_f (0 K): 1.3 eV per formula unit

CIF file:
```
data_BeIn2Mo
_chemical_formula_sum 'Be2 In4 Mo2'
_space_group_name_H-M_alt 'I m m 2'
_space_group_IT_number 44
_space_group_name_Hall 'I 2 -2'
_cell_length_a 3.635
_cell_length_b 4.131
_cell_length_c 9.349
_cell_angle_alpha 90.00
_cell_angle_beta 90.00
_cell_angle_gamma 90.00
loop_
_atom_site_label
_atom_site_fract_x
_atom_site_fract_y
_atom_site_fract_z
Be1 0.000 0.000 0.000
In1 0.000 0.000 0.542
In2 0.000 0.500 0.768
Mo1 0.000 0.500 0.314
```